Density functional theory data (PBE) for a relaxed RbSb3 crystal.

a = 4.974 Å, b = 4.974 Å, c = 6.306 Å
α = 90.00°, β = 90.00°, γ = 90.00°
Positions (direct):
Rb 0.000 0.000 0.000
Sb 0.000 0.500 0.519
Sb 0.500 0.000 0.519
Sb 0.500 0.500 0.262

Properties
Formation energy without anion corrections, eV per atom: -0.104
Crystal system: tetragonal
Mass density, g/cm³: 4.80
E above lowest polymorph, eV per atom: 0.0105



Density functional theory data (PBE) for a relaxed Pr4GaPS2 crystal.

a = 7.308 Å, b = 4.142 Å, c = 7.311 Å
α = 90.00°, β = 108.96°, γ = 90.00°
Positions (direct):
Pr 0.244 0.000 0.242
Pr 0.253 0.500 0.756
Pr 0.747 0.500 0.244
Pr 0.756 0.000 0.758
Ga 0.500 0.500 0.500
P 0.500 0.000 0.000
S 0.000 0.000 0.500
S 0.000 0.500 0.000

Properties
Formation energy without anion corrections, eV per atom: -1.519
Crystal system: monoclinic
Mass density, g/cm³: 5.78



Density functional theory data (PBE) for a relaxed Zn2CrIn crystal.

a = 9.302 Å, b = 3.088 Å, c = 4.905 Å
α = 90.00°, β = 101.02°, γ = 90.00°
Positions (direct):
Zn 0.240 0.000 0.216
Zn 0.260 0.500 0.784
Zn 0.740 0.500 0.216
Zn 0.760 0.000 0.784
Cr 0.000 0.500 0.000
Cr 0.500 0.000 0.000
In 0.000 0.000 0.500
In 0.500 0.500 0.500

Properties
Crystal system: monoclinic
ΔH_f (0 K), eV/f.u.: 0.888
Mass density, g/cm³: 7.15



no.,total moment (μB/atom),density of states at the Fermi level (states/eV per atom)
1,0.000,0.22
2,0.000,0.34
3,0.832,0.38